Record 1
Material: MgNiIr
Method: DFT, PBE
State: relaxed

Lattice parameters (Å, degrees): 4.0877 4.0877 4.0877 60.00 60.00 60.00
Last column: nearest neighbours and their distance in Å.
Atoms (fractional coordinates):
Ni  0.7500  0.7500  0.7500  4 Ir 2.50, 4 Mg 2.50
Ir  0.0000  0.0000  0.0000  4 Ni 2.50
Mg  0.5000  0.5000  0.5000  4 Ni 2.50

## Properties
V ... 48.3 Å³/cell
VASP energy ... -5.239 eV/atom
Formation energy ... 0.173 eV per atom
Energy above the most stable polymorph in this dataset ... 445 meV per atom
Crystal system ... cubic

Record 2
Material: La8TbNd5
Method: DFT, PBE
State: relaxed

Lattice parameters (Å, degrees): 8.7438 8.7438 8.7438 110.66 107.12 110.66
Last column: nearest neighbours and their distance in Å.
Atoms (fractional coordinates):
La  0.5251  0.6013  0.2643  5 Nd 3.49-3.72, 4 La 3.65-3.89
La  0.7357  0.2608  0.3370  5 Nd 3.49-3.72, 4 La 3.65-3.89
La  0.3351  0.2670  0.4428  1 Tb 3.21, 3 Nd 3.25-3.50
La  0.6630  0.3987  0.9238  5 Nd 3.49-3.72, 4 La 3.65-3.89
La  0.5572  0.8924  0.8242  1 Tb 3.21, 3 Nd 3.25-3.50
La  0.9318  0.1076  0.6649  1 Tb 3.21, 3 Nd 3.25-3.50
La  0.1758  0.7330  0.0682  1 Tb 3.21, 3 Nd 3.25-3.50
La  0.0762  0.7392  0.4749  5 Nd 3.49-3.72, 4 La 3.65-3.89
Nd  0.8693  0.8979  0.1779  8 La 3.44-3.77, 2 Nd 3.59
Nd  0.0286  0.3085  0.1307  8 La 3.44-3.77, 2 Nd 3.59
Nd  0.5000  0.0000  0.5000  8 La 3.25-3.49
Nd  0.8221  0.6915  0.7200  8 La 3.44-3.77, 2 Nd 3.59
Nd  0.2800  0.1021  0.9714  8 La 3.44-3.77, 2 Nd 3.59
Tb  0.2500  0.5000  0.7500  4 La 3.21

## Properties
V ... 514.0 Å³/cell
VASP energy ... -4.632 eV/atom
Formation energy ... 0.218 eV per atom
Crystal system ... tetragonal

Record 3
Material: Tl2Ag3PbCl8
Method: DFT, PBE
State: relaxed

Lattice parameters (Å, degrees): 8.2315 8.2315 8.6611 61.63 61.63 60.00
Last column: nearest neighbours and their distance in Å.
Atoms (fractional coordinates):
Cl  0.2413  0.2413  0.7928  2 Ag 2.72, 1 Tl 2.78
Cl  0.7646  0.7646  0.2105  1 Pb 2.71, 2 Ag 2.89
Cl  0.2604  0.7646  0.2105  1 Pb 2.71, 2 Ag 2.89
Cl  0.7250  0.7250  0.8248  3 Ag 2.75
Cl  0.2413  0.7246  0.7928  2 Ag 2.72, 1 Tl 2.78
Cl  0.7646  0.2604  0.2105  1 Pb 2.71, 2 Ag 2.89
Cl  0.7246  0.2413  0.7928  2 Ag 2.72, 1 Tl 2.78
Cl  0.2652  0.2652  0.2043  3 Ag 2.75, 1 Tl 2.95
Ag  0.4961  0.4961  0.9945  6 Cl 2.72-2.89
Ag  0.0134  0.4961  0.9945  6 Cl 2.72-2.89
Ag  0.4961  0.0134  0.9945  6 Cl 2.72-2.89
Tl  0.1295  0.1295  0.6114  4 Cl 2.78-2.95
Tl  0.5019  0.5019  0.4942  6 Cl 3.15-3.16
Pb  0.8687  0.8687  0.3939  3 Cl 2.71

## Properties
V ... 424.9 Å³/cell
VASP energy ... -2.963 eV/atom
Formation energy without anion corrections ... -0.6940 eV per atom
Crystal system ... trigonal

Among the records above, which one has the highest VASP energy? Tl2Ag3PbCl8

Among the records above, which one has the highest VASP energy? Tl2Ag3PbCl8